Material: KTaRh2
Method: DFT, PBE
State: optimized geometry

offset from the most stable computed form: 449.0 meV per atom
M_tot: 0.000 μB per formula unit
SG: I-42d
energy of formation from the pure elements: 0.54 eV/atom
theoretical density: 8.02 g/cm3
volume: 22.032 Å³ per atom

Cell: 7.370 7.370 6.139 Å, 53.11 53.11 90.00°
Fractional coordinates of all 8 atoms:
K 0.500 0.500 0.000
K 0.250 0.750 0.500
Rh 0.066 0.625 0.250
Rh 0.684 0.125 0.250
Rh 0.875 0.934 0.750
Rh 0.375 0.316 0.750
Ta 0.000 0.000 0.000
Ta 0.750 0.250 0.500